DFT (PBE with a Hubbard U) results for a relaxed KGdMo2O8 crystal.

Cell and atoms, written as CIF:
```
data_KGdMo2O8
_cell_length_a 5.362
_cell_length_b 7.033
_cell_length_c 10.884
_cell_angle_alpha 94.42
_cell_angle_beta 102.53
_cell_angle_gamma 112.30
_symmetry_space_group_name_H-M 'P 1'
_symmetry_Int_Tables_number 1
loop_
_symmetry_equiv_pos_as_xyz
'x,y,z'
loop_
_atom_site_label
_atom_site_type_symbol
_atom_site_fract_x
_atom_site_fract_y
_atom_site_fract_z
_atom_site_occupancy
K1 K 0.195 0.303 0.058 1
K2 K 0.805 0.697 0.942 1
Gd1 Gd 0.307 0.186 0.439 1
Gd2 Gd 0.693 0.814 0.561 1
Mo1 Mo 0.039 0.428 0.669 1
Mo2 Mo 0.420 0.061 0.780 1
Mo3 Mo 0.580 0.939 0.220 1
Mo4 Mo 0.961 0.572 0.331 1
O1 O 0.057 0.356 0.310 1
O2 O 0.169 0.059 0.628 1
O3 O 0.227 0.412 0.818 1
O4 O 0.251 0.998 0.902 1
O5 O 0.277 0.811 0.418 1
O6 O 0.287 0.482 0.570 1
O7 O 0.300 0.692 0.160 1
O8 O 0.426 0.122 0.253 1
O9 O 0.574 0.878 0.747 1
O10 O 0.700 0.308 0.840 1
O11 O 0.713 0.518 0.430 1
O12 O 0.723 0.189 0.582 1
O13 O 0.749 0.002 0.098 1
O14 O 0.773 0.588 0.182 1
O15 O 0.831 0.941 0.372 1
O16 O 0.943 0.644 0.690 1
```

Calculated values
volume: 15.20 Å³ per atom
raw total energy: -189.6 eV for the cell shown
density: 4.7 g/cm³
magnetic moment: 0.5813 μB per atom